# PBE Y5HfIr6, relaxed
data_Y5HfIr6
_chemical_formula_sum 'Y10 Hf2 Ir12'
_cell_length_a 4.725
_cell_length_b 14.219
_cell_length_c 7.071
_cell_angle_alpha 90.00
_cell_angle_beta 90.00
_cell_angle_gamma 90.00
_symmetry_space_group_name_H-M 'C m m m'
_symmetry_Int_Tables_number 65
_symmetry_space_group_name_Hall '-C 2 2'
loop_
_atom_site_label
_atom_site_fract_x
_atom_site_fract_y
_atom_site_fract_z
Y1 0.000 0.000 0.000
Y2 0.000 0.332 0.500
Y3 0.000 0.334 0.000
Hf1 0.000 0.000 0.500
Ir1 0.000 0.160 0.257
Ir2 0.000 0.500 0.268
# - E_form: -814 meV/atom
# - D(E_F): 2.5 states/eV/f.u.
# - Raw total energy: -8.768 eV per atom



# PBE CsYCoBr6, relaxed
data_CsYCoBr6
_chemical_formula_sum 'Cs2 Y2 Co2 Br12'
_cell_length_a 7.084
_cell_length_b 12.280
_cell_length_c 8.192
_cell_angle_alpha 90.00
_cell_angle_beta 90.31
_cell_angle_gamma 90.00
_symmetry_space_group_name_H-M 'C 1 2 1'
_symmetry_Int_Tables_number 5
loop_
_symmetry_equiv_pos_as_xyz
'x,y,z'
'-x,y,-z'
'x+1/2,y+1/2,z'
'-x+1/2,y+1/2,-z'
loop_
_atom_site_label
_atom_site_fract_x
_atom_site_fract_y
_atom_site_fract_z
Cs1 0.000 0.000 0.000
Y1 0.000 0.333 0.500
Co1 0.000 0.667 0.500
Br1 0.119 0.510 0.693
Br2 0.172 0.808 0.689
Br3 0.202 0.182 0.690
# - Uncorrected formation energy: -1323.9 meV per atom
# - D(E_F): 1.1 states/eV/f.u.
# - Raw total energy: -4.042 eV per atom



# PBE PRhPbO2, relaxed
data_PRhPbO2
_chemical_formula_sum 'P1 Rh1 Pb1 O2'
_cell_length_a 3.984
_cell_length_b 3.984
_cell_length_c 4.947
_cell_angle_alpha 90.00
_cell_angle_beta 90.00
_cell_angle_gamma 90.00
_symmetry_space_group_name_H-M 'P 4/m m m'
_symmetry_Int_Tables_number 123
_symmetry_space_group_name_Hall '-P 4 2'
loop_
_atom_site_label
_atom_site_fract_x
_atom_site_fract_y
_atom_site_fract_z
P1 0.000 0.000 0.000
Rh1 0.000 0.000 0.500
Pb1 0.500 0.500 0.000
O1 0.000 0.500 0.500
# - Uncorrected formation energy: -183.9 meV per atom
# - D(E_F): 3.8 states/eV/f.u.
# - Polymorph energy (0 for the lowest one): 0 meV/atom
# - Raw total energy: -5.461 eV per atom



# PBE SrInHg, relaxed
data_SrInHg
_chemical_formula_sum 'Sr2 In2 Hg2'
_cell_length_a 3.851
_cell_length_b 3.851
_cell_length_c 12.034
_cell_angle_alpha 90.00
_cell_angle_beta 90.00
_cell_angle_gamma 90.00
_symmetry_space_group_name_H-M 'I 4 m m'
_symmetry_Int_Tables_number 107
_symmetry_space_group_name_Hall 'I 4 -2'
loop_
_atom_site_label
_atom_site_fract_x
_atom_site_fract_y
_atom_site_fract_z
Sr1 0.000 0.000 0.000
In1 0.000 0.000 0.309
Hg1 0.000 0.000 0.670
# - E_form: -379 meV/atom
# - D(E_F): 0.8 states/eV/f.u.
# - Raw total energy: -1.953 eV per atom



# PBE La4InCu, relaxed
data_La4InCu
_chemical_formula_sum 'La16 In4 Cu4'
_cell_length_a 9.137
_cell_length_b 9.137
_cell_length_c 9.137
_cell_angle_alpha 90.00
_cell_angle_beta 90.00
_cell_angle_gamma 90.00
_symmetry_space_group_name_H-M 'F -4 3 m'
_symmetry_Int_Tables_number 216
_symmetry_space_group_name_Hall 'F -4 2 3'
loop_
_atom_site_label
_atom_site_fract_x
_atom_site_fract_y
_atom_site_fract_z
La1 0.124 0.124 0.376
In1 0.250 0.250 0.750
Cu1 0.000 0.000 0.000
# - E_form: 350 meV/atom
# - D(E_F): 8.0 states/eV/f.u.
# - Polymorph energy (0 for the lowest one): 564 meV/atom
# - Raw total energy: -4.074 eV per atom



# PBE Ge2BiAu8, relaxed
data_Ge2BiAu8
_chemical_formula_sum 'Ge4 Bi2 Au16'
_cell_length_a 14.814
_cell_length_b 3.414
_cell_length_c 8.719
_cell_angle_alpha 90.00
_cell_angle_beta 100.46
_cell_angle_gamma 90.00
_symmetry_space_group_name_H-M 'C 1 2/m 1'
_symmetry_Int_Tables_number 12
loop_
_symmetry_equiv_pos_as_xyz
'x,y,z'
'-x,-y,-z'
'-x,y,-z'
'x,-y,z'
'x+1/2,y+1/2,z'
'-x+1/2,-y+1/2,-z'
'-x+1/2,y+1/2,-z'
'x+1/2,-y+1/2,z'
loop_
_atom_site_label
_atom_site_fract_x
_atom_site_fract_y
_atom_site_fract_z
Ge1 0.216 0.000 0.152
Bi1 0.000 0.500 0.500
Au1 0.044 0.000 0.219
Au2 0.096 0.500 0.963
Au3 0.145 0.000 0.716
Au4 0.187 0.500 0.402
# - E_form: 68 meV/atom
# - D(E_F): 4.3 states/eV/f.u.
# - Raw total energy: -3.508 eV per atom



# PBE BaCa2Pt, relaxed
data_BaCa2Pt
_chemical_formula_sum 'Ba4 Ca8 Pt4'
_cell_length_a 7.716
_cell_length_b 7.716
_cell_length_c 7.716
_cell_angle_alpha 90.00
_cell_angle_beta 90.00
_cell_angle_gamma 90.00
_symmetry_space_group_name_H-M 'F m -3 m'
_symmetry_Int_Tables_number 225
_symmetry_space_group_name_Hall '-F 4 2 3'
loop_
_atom_site_label
_atom_site_fract_x
_atom_site_fract_y
_atom_site_fract_z
Ba1 0.000 0.000 0.000
Ca1 0.250 0.250 0.250
Pt1 0.000 0.000 0.500
# - E_form: -162 meV/atom
# - D(E_F): 4.5 states/eV/f.u.
# - Polymorph energy (0 for the lowest one): 401 meV/atom
# - Raw total energy: -3.154 eV per atom



# PBE UIr2Rh8, relaxed
data_UIr2Rh8
_chemical_formula_sum 'U2 Ir4 Rh16'
_cell_length_a 14.133
_cell_length_b 3.925
_cell_length_c 6.167
_cell_angle_alpha 90.00
_cell_angle_beta 104.79
_cell_angle_gamma 90.00
_symmetry_space_group_name_H-M 'C 1 2/m 1'
_symmetry_Int_Tables_number 12
loop_
_symmetry_equiv_pos_as_xyz
'x,y,z'
'-x,-y,-z'
'-x,y,-z'
'x,-y,z'
'x+1/2,y+1/2,z'
'-x+1/2,-y+1/2,-z'
'-x+1/2,y+1/2,-z'
'x+1/2,-y+1/2,z'
loop_
_atom_site_label
_atom_site_fract_x
_atom_site_fract_y
_atom_site_fract_z
U1 0.000 0.000 0.000
Ir1 0.225 0.500 0.634
Rh1 0.047 0.500 0.727
Rh2 0.095 0.000 0.454
Rh3 0.137 0.500 0.191
Rh4 0.185 0.000 0.921
# - E_form: -197 meV/atom
# - D(E_F): 13.6 states/eV/f.u.
# - Raw total energy: -8.181 eV per atom



# PBE ErCu10Ag, relaxed
data_ErCu10Ag
_chemical_formula_sum 'Er1 Cu10 Ag1'
_cell_length_a 4.095
_cell_length_b 4.931
_cell_length_c 8.536
_cell_angle_alpha 90.00
_cell_angle_beta 90.00
_cell_angle_gamma 90.00
_symmetry_space_group_name_H-M 'P m m m'
_symmetry_Int_Tables_number 47
loop_
_symmetry_equiv_pos_as_xyz
'x,y,z'
'-x,-y,-z'
'-x,-y,z'
'x,y,-z'
'x,-y,-z'
'-x,y,z'
'-x,y,-z'
'x,-y,z'
loop_
_atom_site_label
_atom_site_fract_x
_atom_site_fract_y
_atom_site_fract_z
Er1 0.000 0.000 0.000
Cu1 0.000 0.000 0.342
Cu2 0.000 0.500 0.179
Cu3 0.500 0.000 0.500
Cu4 0.500 0.247 0.250
Cu5 0.500 0.500 0.000
Ag1 0.000 0.500 0.500
# - E_form: -39 meV/atom
# - D(E_F): 5.4 states/eV/f.u.
# - Raw total energy: -4.070 eV per atom



Q: D(E_F) of number 1 (Y5HfIr6)?
A: 2.5 states/eV/f.u.



Q: Among the records above, which one has the highest D(E_F)?
A: UIr2Rh8



Please write out number 1 again, unchanged.
# PBE Y5HfIr6, relaxed
data_Y5HfIr6
_chemical_formula_sum 'Y10 Hf2 Ir12'
_cell_length_a 4.725
_cell_length_b 14.219
_cell_length_c 7.071
_cell_angle_alpha 90.00
_cell_angle_beta 90.00
_cell_angle_gamma 90.00
_symmetry_space_group_name_H-M 'C m m m'
_symmetry_Int_Tables_number 65
_symmetry_space_group_name_Hall '-C 2 2'
loop_
_atom_site_label
_atom_site_fract_x
_atom_site_fract_y
_atom_site_fract_z
Y1 0.000 0.000 0.000
Y2 0.000 0.332 0.500
Y3 0.000 0.334 0.000
Hf1 0.000 0.000 0.500
Ir1 0.000 0.160 0.257
Ir2 0.000 0.500 0.268
# - E_form: -814 meV/atom
# - D(E_F): 2.5 states/eV/f.u.
# - Raw total energy: -8.768 eV per atom



What did the seventh record say?
# PBE BaCa2Pt, relaxed
data_BaCa2Pt
_chemical_formula_sum 'Ba4 Ca8 Pt4'
_cell_length_a 7.716
_cell_length_b 7.716
_cell_length_c 7.716
_cell_angle_alpha 90.00
_cell_angle_beta 90.00
_cell_angle_gamma 90.00
_symmetry_space_group_name_H-M 'F m -3 m'
_symmetry_Int_Tables_number 225
_symmetry_space_group_name_Hall '-F 4 2 3'
loop_
_atom_site_label
_atom_site_fract_x
_atom_site_fract_y
_atom_site_fract_z
Ba1 0.000 0.000 0.000
Ca1 0.250 0.250 0.250
Pt1 0.000 0.000 0.500
# - E_form: -162 meV/atom
# - D(E_F): 4.5 states/eV/f.u.
# - Polymorph energy (0 for the lowest one): 401 meV/atom
# - Raw total energy: -3.154 eV per atom